Density functional theory data (PBE-GGA) for PmNdY6Ho2 after structural relaxation.

Summary:
ΔE_f = 120 meV per atom
raw total energy = -5.626 eV/atom
size of the total moment = 0.00 μB/f.u.
density = 5.793 Mg/m³

a b c (Å): 8.813 8.813 9.640
angles (deg): 94.05 94.05 117.05
Element x y z (fractional)
Pm1 0.027 0.973 0.750
Pm2 0.973 0.027 0.250
Nd1 0.408 0.592 0.250
Nd2 0.592 0.408 0.750
Y1 0.019 0.568 0.681
Y2 0.118 0.753 0.057
Y3 0.247 0.882 0.443
Y4 0.295 0.511 0.883
Y5 0.432 0.981 0.819
Y6 0.489 0.705 0.617
Y7 0.511 0.295 0.383
Y8 0.568 0.019 0.181
Y9 0.705 0.489 0.117
Y10 0.753 0.118 0.557
Y11 0.882 0.247 0.943
Y12 0.981 0.432 0.319
Ho1 0.195 0.296 0.548
Ho2 0.296 0.195 0.048
Ho3 0.704 0.805 0.952
Ho4 0.805 0.704 0.452

***

Density functional theory data (PBE-GGA) for Sr2Al3AgAu12 after structural relaxation.

Summary:
ΔE_f = -156 meV per atom
raw total energy = -3.310 eV/atom
size of the total moment = 0.00 μB/f.u.
density = 10.442 Mg/m³

a b c (Å): 8.271 8.271 8.271
angles (deg): 63.81 63.81 63.81
Element x y z (fractional)
Sr1 0.111 0.111 0.111
Sr2 0.889 0.889 0.889
Al1 0.000 0.500 0.500
Al2 0.500 0.000 0.500
Al3 0.500 0.500 0.000
Ag1 0.500 0.500 0.500
Au1 0.120 0.631 0.631
Au2 0.148 0.148 0.610
Au3 0.148 0.610 0.148
Au4 0.369 0.369 0.880
Au5 0.369 0.880 0.369
Au6 0.390 0.852 0.852
Au7 0.610 0.148 0.148
Au8 0.631 0.120 0.631
Au9 0.631 0.631 0.120
Au10 0.852 0.390 0.852
Au11 0.852 0.852 0.390
Au12 0.880 0.369 0.369

***

Density functional theory data (PBE-GGA) for VFe3Au after structural relaxation.

Summary:
ΔE_f = 981 meV per atom
raw total energy = -6.576 eV/atom
distance to the lowest polymorph of the same formula = 0 meV per atom
size of the total moment = 4.64 μB/f.u.
density = 8.961 Mg/m³

a b c (Å): 4.254 4.254 4.254
angles (deg): 90.00 90.00 90.00
Element x y z (fractional)
V1 0.000 0.000 0.000
Fe1 0.000 0.000 0.500
Fe2 0.000 0.500 0.000
Fe3 0.500 0.000 0.000
Au1 0.500 0.500 0.500

***

Density functional theory data (PBE-GGA) for La8Y3Ho after structural relaxation.

Summary:
ΔE_f = 529 meV per atom
raw total energy = -4.754 eV/atom
size of the total moment = 0.00 μB/f.u.
density = 5.518 Mg/m³

a b c (Å): 8.602 8.602 8.602
angles (deg): 117.73 117.73 93.99
Element x y z (fractional)
La1 0.129 0.129 0.755
La2 0.249 0.746 0.000
La3 0.254 0.254 0.503
La4 0.374 0.374 0.245
La5 0.626 0.871 0.000
La6 0.746 0.249 0.000
La7 0.751 0.751 0.497
La8 0.871 0.626 0.000
Y1 0.000 0.000 0.000
Y2 0.250 0.750 0.500
Y3 0.750 0.250 0.500
Ho1 0.500 0.500 0.000

***

Density functional theory data (PBE-GGA) for SrNpTe3Au after structural relaxation.

Summary:
raw total energy = -5.411 eV/atom
raw formation energy = -83 kJ per mole of atoms
size of the total moment = 4.00 μB/f.u.
density = 7.792 Mg/m³

a b c (Å): 8.909 4.435 10.070
angles (deg): 90.00 104.31 90.00
Element x y z (fractional)
Sr1 0.195 0.250 0.259
Sr2 0.805 0.750 0.741
Np1 0.322 0.750 0.836
Np2 0.678 0.250 0.164
Te1 0.086 0.250 0.865
Te2 0.263 0.750 0.522
Te3 0.429 0.750 0.158
Te4 0.571 0.250 0.842
Te5 0.737 0.250 0.478
Te6 0.914 0.750 0.135
Au1 0.090 0.250 0.586
Au2 0.910 0.750 0.414

***

Density functional theory data (PBE-GGA) for Si2HgN after structural relaxation.

Summary:
raw total energy = -3.410 eV/atom
distance to the lowest polymorph of the same formula = 1133 meV per atom
raw formation energy = 141 kJ per mole of atoms
size of the total moment = 0.56 μB/f.u.
density = 7.205 Mg/m³

a b c (Å): 4.452 4.452 4.452
angles (deg): 60.00 60.00 60.00
Element x y z (fractional)
Si1 0.250 0.250 0.250
Si2 0.750 0.750 0.750
Hg1 0.000 0.000 0.000
N1 0.500 0.500 0.500

***

Density functional theory data (PBE-GGA) for Cs2Pa2Te5 after structural relaxation.

Summary:
raw total energy = -5.042 eV/atom
distance to the lowest polymorph of the same formula = 0 meV per atom
raw formation energy = -96 kJ per mole of atoms
size of the total moment = 2.01 μB/f.u.
density = 6.606 Mg/m³

a b c (Å): 10.305 10.305 8.560
angles (deg): 90.00 90.00 49.07
Element x y z (fractional)
Cs1 0.206 0.206 0.000
Cs2 0.294 0.294 0.500
Cs3 0.706 0.706 0.500
Cs4 0.794 0.794 0.000
Pa1 0.153 0.847 0.653
Pa2 0.347 0.653 0.153
Pa3 0.653 0.347 0.847
Pa4 0.847 0.153 0.347
Te1 0.000 0.000 0.000
Te2 0.040 0.748 0.354
Te3 0.248 0.540 0.854
Te4 0.252 0.960 0.354
Te5 0.460 0.752 0.854
Te6 0.500 0.500 0.500
Te7 0.540 0.248 0.146
Te8 0.748 0.040 0.646
Te9 0.752 0.460 0.146
Te10 0.960 0.252 0.646

***

Density functional theory data (PBE-GGA) for SrZn2Si2 after structural relaxation.

Summary:
raw total energy = -2.871 eV/atom
raw formation energy = 14 kJ per mole of atoms
size of the total moment = 0.00 μB/f.u.
density = 4.641 Mg/m³

a b c (Å): 7.801 7.801 3.229
angles (deg): 90.00 90.00 90.00
Element x y z (fractional)
Sr1 0.000 0.000 0.000
Sr2 0.500 0.500 0.000
Zn1 0.154 0.346 0.500
Zn2 0.346 0.846 0.500
Zn3 0.654 0.154 0.500
Zn4 0.846 0.654 0.500
Si1 0.125 0.625 0.000
Si2 0.375 0.125 0.000
Si3 0.625 0.875 0.000
Si4 0.875 0.375 0.000

***

Density functional theory data (PBE-GGA) for Li2ZnPd6 after structural relaxation.

Summary:
ΔE_f = -362 meV per atom
raw total energy = -4.390 eV/atom
distance to the lowest polymorph of the same formula = 0 meV per atom
size of the total moment = 0.00 μB/f.u.
density = 9.155 Mg/m³

a b c (Å): 8.002 8.002 4.067
angles (deg): 90.00 90.00 90.00
Element x y z (fractional)
Li1 0.191 0.191 0.000
Li2 0.309 0.691 0.500
Li3 0.691 0.309 0.500
Li4 0.809 0.809 0.000
Zn1 0.000 0.000 0.500
Zn2 0.500 0.500 0.000
Pd1 0.019 0.327 0.500
Pd2 0.138 0.862 0.000
Pd3 0.173 0.519 0.000
Pd4 0.327 0.019 0.500
Pd5 0.362 0.362 0.500
Pd6 0.481 0.827 0.000
Pd7 0.519 0.173 0.000
Pd8 0.638 0.638 0.500
Pd9 0.673 0.981 0.500
Pd10 0.827 0.481 0.000
Pd11 0.862 0.138 0.000
Pd12 0.981 0.673 0.500

***

Density functional theory data (PBE-GGA) for SiAgMo2 after structural relaxation.

Summary:
raw total energy = -7.195 eV/atom
raw formation energy = 28 kJ per mole of atoms
size of the total moment = 0.00 μB/f.u.
density = 8.811 Mg/m³

a b c (Å): 4.802 4.802 4.802
angles (deg): 130.94 130.94 71.91
Element x y z (fractional)
Si1 0.000 0.000 0.000
Ag1 0.250 0.750 0.500
Mo1 0.500 0.500 0.000
Mo2 0.750 0.250 0.500

***

Density functional theory data (PBE-GGA) for RbAg2Sb after structural relaxation.

Summary:
raw total energy = -2.850 eV/atom
raw formation energy = -15 kJ per mole of atoms
size of the total moment = 0.00 μB/f.u.
density = 5.352 Mg/m³

a b c (Å): 6.857 6.857 6.857
angles (deg): 42.13 42.13 42.13
Element x y z (fractional)
Rb1 0.000 0.000 0.000
Ag1 0.186 0.186 0.186
Ag2 0.814 0.814 0.814
Sb1 0.500 0.500 0.500

***

Density functional theory data (PBE-GGA) for Cd5Ge3Cl16 after structural relaxation.

Summary:
raw total energy = -2.952 eV/atom
raw formation energy = -92 kJ per mole of atoms
size of the total moment = 0.00 μB/f.u.
density = 3.404 Mg/m³

a b c (Å): 7.876 7.876 12.254
angles (deg): 90.31 90.31 59.83
Element x y z (fractional)
Cd1 0.000 0.000 0.000
Cd2 0.336 0.832 0.500
Cd3 0.501 0.501 0.229
Cd4 0.832 0.336 0.500
Cd5 0.833 0.833 0.727
Ge1 0.339 0.339 0.496
Ge2 0.508 0.998 0.998
Ge3 0.998 0.508 0.998
Cl1 0.002 0.002 0.617
Cl2 0.137 0.679 0.870
Cl3 0.162 0.162 0.387
Cl4 0.163 0.163 0.885
Cl5 0.194 0.649 0.373
Cl6 0.330 0.834 0.119
Cl7 0.337 0.337 0.118
Cl8 0.500 0.995 0.619
Cl9 0.502 0.502 0.618
Cl10 0.649 0.194 0.373
Cl11 0.652 0.652 0.370
Cl12 0.679 0.137 0.870
Cl13 0.680 0.680 0.873
Cl14 0.834 0.330 0.119
Cl15 0.837 0.837 0.119
Cl16 0.995 0.500 0.619

***

Density functional theory data (PBE-GGA) for PdRh3Pb after structural relaxation.

Summary:
ΔE_f = 1182 meV per atom
raw total energy = -5.009 eV/atom
distance to the lowest polymorph of the same formula = 0 meV per atom
size of the total moment = 1.64 μB/f.u.
density = 9.449 Mg/m³

a b c (Å): 4.782 4.782 4.782
angles (deg): 90.00 90.00 90.00
Element x y z (fractional)
Pd1 0.000 0.000 0.000
Rh1 0.000 0.000 0.500
Rh2 0.000 0.500 0.000
Rh3 0.500 0.000 0.000
Pb1 0.500 0.500 0.500

***

Density functional theory data (PBE-GGA) for PuMnGa4 after structural relaxation.

Summary:
ΔE_f = -290 meV per atom
raw total energy = -6.225 eV/atom
distance to the lowest polymorph of the same formula = 0 meV per atom
size of the total moment = 3.44 μB/f.u.
density = 9.173 Mg/m³

a b c (Å): 7.672 4.056 6.722
angles (deg): 90.00 90.00 90.00
Element x y z (fractional)
Pu1 0.250 0.000 0.120
Pu2 0.750 0.000 0.880
Mn1 0.250 0.000 0.715
Mn2 0.750 0.000 0.285
Ga1 0.000 0.000 0.500
Ga2 0.060 0.500 0.816
Ga3 0.250 0.500 0.447
Ga4 0.440 0.500 0.816
Ga5 0.500 0.000 0.500
Ga6 0.560 0.500 0.184
Ga7 0.750 0.500 0.553
Ga8 0.940 0.500 0.184

***

Density functional theory data (PBE-GGA) for TaOs after structural relaxation.

Summary:
ΔE_f = 546 meV per atom
raw total energy = -10.995 eV/atom
size of the total moment = 0.00 μB/f.u.
density = 16.928 Mg/m³

a b c (Å): 3.720 3.720 3.720
angles (deg): 60.00 60.00 60.00
Element x y z (fractional)
Ta1 0.000 0.000 0.000
Os1 0.500 0.500 0.500

***

Density functional theory data (PBE-GGA) for YZr2Ga2 after structural relaxation.

Summary:
ΔE_f = -475 meV per atom
raw total energy = -6.398 eV/atom
distance to the lowest polymorph of the same formula = 0 meV per atom
size of the total moment = 0.00 μB/f.u.
density = 6.352 Mg/m³

a b c (Å): 7.731 7.731 3.594
angles (deg): 90.00 90.00 90.00
Element x y z (fractional)
Y1 0.000 0.000 0.000
Y2 0.500 0.500 0.000
Zr1 0.177 0.323 0.500
Zr2 0.323 0.823 0.500
Zr3 0.677 0.177 0.500
Zr4 0.823 0.677 0.500
Ga1 0.120 0.620 0.000
Ga2 0.380 0.120 0.000
Ga3 0.620 0.880 0.000
Ga4 0.880 0.380 0.000

***

Density functional theory data (PBE-GGA) for Ac3Cd2Si4 after structural relaxation.

Summary:
raw total energy = -4.474 eV/atom
raw formation energy = -47 kJ per mole of atoms
size of the total moment = 0.00 μB/f.u.
density = 7.266 Mg/m³

a b c (Å): 6.362 6.362 8.837
angles (deg): 97.53 97.53 41.07
Element x y z (fractional)
Ac1 0.000 0.000 0.000
Ac2 0.336 0.336 0.327
Ac3 0.664 0.664 0.673
Cd1 0.388 0.388 0.724
Cd2 0.612 0.612 0.276
Si1 0.058 0.058 0.400
Si2 0.274 0.274 0.956
Si3 0.726 0.726 0.044
Si4 0.942 0.942 0.600

***

Density functional theory data (PBE-GGA) for TePt2W after structural relaxation.

Summary:
raw total energy = -6.622 eV/atom
raw formation energy = 41 kJ per mole of atoms
size of the total moment = 0.00 μB/f.u.
density = 16.760 Mg/m³

a b c (Å): 5.140 5.140 5.140
angles (deg): 133.81 133.81 67.38
Element x y z (fractional)
Te1 0.000 0.000 0.000
Pt1 0.250 0.750 0.500
Pt2 0.750 0.250 0.500
W1 0.500 0.500 0.000

***

Density functional theory data (PBE-GGA) for BaAcIr after structural relaxation.

Summary:
ΔE_f = -379 meV per atom
raw total energy = -5.343 eV/atom
distance to the lowest polymorph of the same formula = 0 meV per atom
size of the total moment = 0.00 μB/f.u.
density = 7.492 Mg/m³

a b c (Å): 4.460 4.460 14.545
angles (deg): 98.69 98.69 60.00
Element x y z (fractional)
Ba1 0.216 0.216 0.146
Ba2 0.784 0.784 0.854
Ac1 0.377 0.377 0.629
Ac2 0.623 0.623 0.371
Ir1 0.076 0.076 0.727
Ir2 0.924 0.924 0.273

***

Density functional theory data (PBE-GGA) for K2NpRhO6 after structural relaxation.

Summary:
raw total energy = -7.157 eV/atom
raw formation energy = -186 kJ per mole of atoms
size of the total moment = 0.23 μB/f.u.
density = 6.230 Mg/m³

a b c (Å): 5.787 5.787 5.787
angles (deg): 60.00 60.00 60.00
Element x y z (fractional)
K1 0.250 0.250 0.250
K2 0.750 0.750 0.750
Np1 0.000 0.000 0.000
Rh1 0.500 0.500 0.500
O1 0.251 0.251 0.749
O2 0.251 0.749 0.251
O3 0.251 0.749 0.749
O4 0.749 0.251 0.251
O5 0.749 0.251 0.749
O6 0.749 0.749 0.251

***

Density functional theory data (PBE-GGA) for Rb3YPu3S8 after structural relaxation.

Summary:
raw total energy = -7.328 eV/atom
raw formation energy = -158 kJ per mole of atoms
size of the total moment = 14.00 μB/f.u.
density = 4.967 Mg/m³

a b c (Å): 9.072 9.072 9.072
angles (deg): 53.36 53.36 53.36
Element x y z (fractional)
Rb1 0.000 0.500 0.500
Rb2 0.500 0.000 0.500
Rb3 0.500 0.500 0.000
Y1 0.500 0.500 0.500
Pu1 0.000 0.000 0.500
Pu2 0.000 0.500 0.000
Pu3 0.500 0.000 0.000
S1 0.227 0.729 0.729
S2 0.229 0.229 0.229
S3 0.271 0.271 0.773
S4 0.271 0.773 0.271
S5 0.729 0.227 0.729
S6 0.729 0.729 0.227
S7 0.771 0.771 0.771
S8 0.773 0.271 0.271

***

Density functional theory data (PBE-GGA) for ErZrAg after structural relaxation.

Summary:
ΔE_f = 130 meV per atom
raw total energy = -5.191 eV/atom
distance to the lowest polymorph of the same formula = 224 meV per atom
size of the total moment = 0.00 μB/f.u.
density = 8.527 Mg/m³

a b c (Å): 4.945 4.945 3.368
angles (deg): 90.00 90.00 120.00
Element x y z (fractional)
Er1 0.000 0.000 0.000
Zr1 0.333 0.667 0.462
Ag1 0.667 0.333 0.614